# NpPaAg (GGA-PBE, relaxed)
data_NpPaAg
_cell_length_a 6.161
_cell_length_b 3.474
_cell_length_c 12.838
_cell_angle_alpha 90.00
_cell_angle_beta 101.44
_cell_angle_gamma 90.00
_space_group_name_H-M_alt 'C 1 2/m 1'
_space_group_IT_number 12
_space_group_name_Hall '-C 2y'
loop_
_atom_site_label
_atom_site_fract_x
_atom_site_fract_y
_atom_site_fract_z
_atom_site_occupancy
Np1 0.186 0.000 0.052 1
Pa1 0.044 0.000 0.230 1
Ag1 0.197 0.000 0.580 1
# - Crystal system: monoclinic

# NpPaAgSn (GGA-PBE, relaxed)
data_NpPaAgSn
_cell_length_a 7.258
_cell_length_b 7.258
_cell_length_c 7.258
_cell_angle_alpha 90.00
_cell_angle_beta 90.00
_cell_angle_gamma 90.00
_space_group_name_H-M_alt 'F -4 3 m'
_space_group_IT_number 216
_space_group_name_Hall 'F -4 2 3'
loop_
_atom_site_label
_atom_site_fract_x
_atom_site_fract_y
_atom_site_fract_z
_atom_site_occupancy
Np1 0.000 0.000 0.000 1
Pa1 0.250 0.250 0.250 1
Ag1 0.000 0.000 0.500 1
Sn1 0.250 0.250 0.750 1
# - Crystal system: cubic

# NpAgPb (GGA-PBE, relaxed)
data_NpAgPb
_cell_length_a 8.495
_cell_length_b 3.454
_cell_length_c 9.475
_cell_angle_alpha 90.00
_cell_angle_beta 90.00
_cell_angle_gamma 90.00
_space_group_name_H-M_alt 'P n m a'
_space_group_IT_number 62
_space_group_name_Hall '-P 2ac 2n'
loop_
_atom_site_label
_atom_site_fract_x
_atom_site_fract_y
_atom_site_fract_z
_atom_site_occupancy
Np1 0.019 0.250 0.084 1
Ag1 0.125 0.250 0.579 1
Pb1 0.202 0.750 0.335 1
# - Crystal system: orthorhombic

# NpAg4Pb (GGA-PBE, relaxed)
data_NpAg4Pb
_cell_length_a 8.058
_cell_length_b 8.058
_cell_length_c 8.058
_cell_angle_alpha 90.00
_cell_angle_beta 90.00
_cell_angle_gamma 90.00
_space_group_name_H-M_alt 'F -4 3 m'
_space_group_IT_number 216
_space_group_name_Hall 'F -4 2 3'
loop_
_atom_site_label
_atom_site_fract_x
_atom_site_fract_y
_atom_site_fract_z
_atom_site_occupancy
Np1 0.000 0.000 0.000 1
Ag1 0.125 0.125 0.625 1
Pb1 0.250 0.250 0.250 1
# - Crystal system: cubic

Formation energy from the elements (computed, eV/atom): 0.215 0.342 0.162 0.162
D(E_F) (computed, states/eV per atom): 1.6840 2.9926 0.8985 2.1503